Density functional theory data (GGA-PBE) for a relaxed CaPm6Er8 crystal.

Cell: 9.8958 9.8958 6.1231 Å, 90.00 90.00 120.00°
With the nearest neighbours (Å) after each atom.
Positions (direct):
Ca 0.0000 0.0000 0.0000  6 Pm 3.92, 6 Er 4.22
Pm 0.1364 0.6919 0.9461  4 Er 3.33-3.61, 3 Pm 3.45-3.61
Pm 0.3081 0.4445 0.9461  4 Er 3.33-3.61, 3 Pm 3.45-3.61
Pm 0.4445 0.1364 0.0539  4 Er 3.33-3.61, 3 Pm 3.45-3.61
Pm 0.5555 0.8636 0.9461  4 Er 3.33-3.61, 3 Pm 3.45-3.61
Pm 0.6919 0.5555 0.0539  4 Er 3.33-3.61, 3 Pm 3.45-3.61
Pm 0.8636 0.3081 0.0539  4 Er 3.33-3.61, 3 Pm 3.45-3.61
Er 0.0211 0.3398 0.5620  5 Er 3.27-3.48, 3 Pm 3.33-3.42
Er 0.3187 0.9789 0.5620  5 Er 3.27-3.48, 3 Pm 3.33-3.42
Er 0.3333 0.6667 0.4270  6 Er 3.27-3.48, 3 Pm 3.61
Er 0.3398 0.3187 0.4380  5 Er 3.27-3.48, 3 Pm 3.33-3.42
Er 0.6602 0.6813 0.5620  5 Er 3.27-3.48, 3 Pm 3.33-3.42
Er 0.6667 0.3333 0.5730  6 Er 3.27-3.48, 3 Pm 3.61
Er 0.6813 0.0211 0.4380  5 Er 3.27-3.48, 3 Pm 3.33-3.42
Er 0.9789 0.6602 0.4380  5 Er 3.27-3.48, 3 Pm 3.33-3.42

Calculated values
**Space-group type**: P-3 (147)

---

Density functional theory data (GGA-PBE) for a relaxed CaPmEr2 crystal.

Cell: 3.6333 3.6333 10.3290 Å, 90.00 90.00 90.00°
With the nearest neighbours (Å) after each atom.
Positions (direct):
Ca 0.0000 0.0000 0.0000  4 Ca 3.63, 8 Er 3.77
Pm 0.0000 0.0000 0.5000  8 Er 3.52, 4 Pm 3.63
Er 0.5000 0.5000 0.2677  4 Pm 3.52, 4 Er 3.63, 4 Ca 3.77
Er 0.5000 0.5000 0.7323  4 Pm 3.52, 4 Er 3.63, 4 Ca 3.77

Calculated values
**Space-group type**: P4/mmm (123)
**Energy above the lowest structure with this stoichiometry**: 14.6 meV/atom

---

Density functional theory data (GGA-PBE) for a relaxed CaPm4Er2 crystal.

Cell: 21.0548 21.0548 21.0548 Å, 9.86 9.86 9.86°
With the nearest neighbours (Å) after each atom.
Positions (direct):
Ca 0.0000 0.0000 0.0000  6 Ca 3.62, 6 Pm 3.85
Pm 0.1429 0.1429 0.1429  3 Er 3.59, 9 Pm 3.62-3.65
Pm 0.2819 0.2819 0.2819  3 Er 3.52, 6 Pm 3.62, 3 Ca 3.85
Pm 0.7181 0.7181 0.7181  3 Er 3.52, 6 Pm 3.62, 3 Ca 3.85
Pm 0.8571 0.8571 0.8571  3 Er 3.59, 9 Pm 3.62-3.65
Er 0.4298 0.4298 0.4298  6 Pm 3.52-3.59, 6 Er 3.62
Er 0.5702 0.5702 0.5702  6 Pm 3.52-3.59, 6 Er 3.62

Calculated values
**Space-group type**: R-3m (166)

---

no.,total DFT energy (no corrections) (eV/atom),energy of formation from the pure elements (eV/atom)
1,-4.244,0.224
2,-3.886,0.083
3,-4.274,0.030